[1]
DFT (PBE) results for a relaxed structure of BaLiI2.

abc: 8.996 8.996 8.996
angles: 28.09 28.09 28.09
Fractional coordinates of all 4 atoms:
Ba (0.000, 0.000, 0.000)
Li (0.500, 0.500, 0.500)
I (0.232, 0.232, 0.232)
I (0.768, 0.768, 0.768)

Computed properties:
Total moment ... 0.69 Bohr magnetons per cell
Relative energy among the computed polymorphs ... 0.04 eV/f.u.
Raw formation energy ... -1.21 eV/atom

=====

[2]
DFT (PBE) results for a relaxed structure of Ba2Li2I.

abc: 11.205 11.205 11.205
angles: 158.42 158.42 30.70
Fractional coordinates of all 5 atoms:
Ba (0.109, 0.109, 0.000)
Ba (0.891, 0.891, 0.000)
Li (0.250, 0.750, 0.500)
Li (0.750, 0.250, 0.500)
I (0.500, 0.500, 0.000)

Computed properties:
Total moment ... 0.00 Bohr magnetons per cell
Relative energy among the computed polymorphs ... 0.48 eV/f.u.
Raw formation energy ... -0.41 eV/atom

=====

[3]
DFT (PBE) results for a relaxed structure of BaLiMn2I8.

abc: 7.426 7.426 10.042
angles: 90.00 90.00 120.00
Fractional coordinates of all 12 atoms:
Ba (0.000, 0.000, 0.000)
Li (0.000, 0.000, 0.500)
Mn (0.333, 0.667, 0.748)
Mn (0.667, 0.333, 0.252)
I (0.001, 0.308, 0.689)
I (0.308, 0.308, 0.311)
I (0.308, 0.999, 0.689)
I (0.333, 0.667, 0.010)
I (0.667, 0.333, 0.990)
I (0.692, 0.001, 0.311)
I (0.692, 0.692, 0.689)
I (0.999, 0.692, 0.311)

Computed properties:
Total moment ... 9.00 Bohr magnetons per cell
Raw formation energy ... -0.78 eV/atom

=====

[4]
DFT (PBE) results for a relaxed structure of BaNaLi2I.

abc: 5.326 5.326 7.451
angles: 90.00 90.00 90.00
Fractional coordinates of all 5 atoms:
Ba (0.000, 0.000, 0.000)
Na (0.000, 0.000, 0.500)
Li (0.000, 0.500, 0.500)
Li (0.500, 0.000, 0.500)
I (0.500, 0.500, 0.000)

Computed properties:
Total moment ... 0.00 Bohr magnetons per cell
Raw formation energy ... -0.09 eV/atom

=====

[5]
DFT (PBE) results for a relaxed structure of BaLiNdI6.

abc: 7.932 7.932 15.054
angles: 90.00 90.00 120.00
Fractional coordinates of all 18 atoms:
Ba (0.000, 0.000, 0.000)
Ba (0.000, 0.000, 0.500)
Li (0.333, 0.667, 0.250)
Li (0.667, 0.333, 0.750)
Nd (0.333, 0.667, 0.750)
Nd (0.667, 0.333, 0.250)
I (0.009, 0.366, 0.133)
I (0.009, 0.643, 0.367)
I (0.357, 0.366, 0.367)
I (0.357, 0.991, 0.133)
I (0.366, 0.009, 0.633)
I (0.366, 0.357, 0.867)
I (0.634, 0.643, 0.133)
I (0.634, 0.991, 0.367)
I (0.643, 0.009, 0.867)
I (0.643, 0.634, 0.633)
I (0.991, 0.357, 0.633)
I (0.991, 0.634, 0.867)

Computed properties:
Total moment ... 0.00 Bohr magnetons per cell
Raw formation energy ... -1.46 eV/atom

=====

[6]
DFT (PBE) results for a relaxed structure of Ba2Li3IO6.

abc: 6.725 6.725 5.372
angles: 98.82 98.82 126.44
Fractional coordinates of all 12 atoms:
Ba (0.173, 0.827, 0.000)
Ba (0.827, 0.173, 0.000)
Li (0.000, 0.000, 0.500)
Li (0.401, 0.599, 0.500)
Li (0.599, 0.401, 0.500)
I (0.500, 0.500, 0.000)
O (0.171, 0.424, 0.739)
O (0.273, 0.273, 0.230)
O (0.424, 0.171, 0.739)
O (0.576, 0.829, 0.261)
O (0.727, 0.727, 0.770)
O (0.829, 0.576, 0.261)

Computed properties:
Total moment ... 0.00 Bohr magnetons per cell
Raw formation energy ... -1.64 eV/atom

=====

[7]
DFT (PBE) results for a relaxed structure of BaLiI2O8.

abc: 8.178 8.178 8.178
angles: 38.13 38.13 38.13
Fractional coordinates of all 12 atoms:
Ba (0.000, 0.000, 0.000)
Li (0.500, 0.500, 0.500)
I (0.233, 0.233, 0.233)
I (0.767, 0.767, 0.767)
O (0.120, 0.434, 0.779)
O (0.221, 0.880, 0.566)
O (0.314, 0.314, 0.314)
O (0.434, 0.779, 0.120)
O (0.566, 0.221, 0.880)
O (0.686, 0.686, 0.686)
O (0.779, 0.120, 0.434)
O (0.880, 0.566, 0.221)

Computed properties:
Total moment ... 0.86 Bohr magnetons per cell
Raw formation energy ... -0.84 eV/atom

=====

[8]
DFT (PBE) results for a relaxed structure of BaLi2IO4.

abc: 5.549 5.549 5.549
angles: 121.14 116.53 92.07
Fractional coordinates of all 8 atoms:
Ba (0.000, 0.000, 0.000)
Li (0.256, 0.756, 0.500)
Li (0.744, 0.244, 0.500)
I (0.500, 0.500, 0.000)
O (0.097, 0.484, 0.937)
O (0.453, 0.516, 0.613)
O (0.547, 0.160, 0.063)
O (0.903, 0.840, 0.387)

Computed properties:
Total moment ... 0.71 Bohr magnetons per cell
Raw formation energy ... -1.33 eV/atom

=====

[9]
DFT (PBE) results for a relaxed structure of BaLiIO2.

abc: 4.678 4.678 4.989
angles: 90.00 90.00 90.00
Fractional coordinates of all 5 atoms:
Ba (0.000, 0.000, 0.000)
Li (0.500, 0.500, 0.500)
I (0.500, 0.500, 0.000)
O (0.000, 0.500, 0.500)
O (0.500, 0.000, 0.500)

Computed properties:
Total moment ... 2.00 Bohr magnetons per cell
Relative energy among the computed polymorphs ... 0.00 eV/f.u.
Raw formation energy ... -0.88 eV/atom

=====

[10]
DFT (PBE) results for a relaxed structure of Ba3Li2IO6.

abc: 6.018 6.018 7.111
angles: 90.00 90.00 120.00
Fractional coordinates of all 12 atoms:
Ba (0.000, 0.000, 0.000)
Ba (0.333, 0.667, 0.640)
Ba (0.667, 0.333, 0.360)
Li (0.333, 0.667, 0.225)
Li (0.667, 0.333, 0.775)
I (0.000, 0.000, 0.500)
O (0.163, 0.326, 0.320)
O (0.163, 0.837, 0.320)
O (0.326, 0.163, 0.680)
O (0.674, 0.837, 0.320)
O (0.837, 0.163, 0.680)
O (0.837, 0.674, 0.680)

Computed properties:
Total moment ... 1.00 Bohr magnetons per cell
Raw formation energy ... -1.68 eV/atom

=====

[11]
DFT (PBE) results for a relaxed structure of BaLiIO2.

abc: 4.560 4.560 7.380
angles: 90.00 90.00 90.00
Fractional coordinates of all 5 atoms:
Ba (0.000, 0.000, 0.000)
Li (0.500, 0.500, 0.500)
I (0.000, 0.000, 0.500)
O (0.000, 0.500, 0.000)
O (0.500, 0.000, 0.000)

Computed properties:
Total moment ... 0.29 Bohr magnetons per cell
Relative energy among the computed polymorphs ... 0.22 eV/f.u.
Raw formation energy ... -0.83 eV/atom

=====

[12]
DFT (PBE) results for a relaxed structure of BaLi2IO6.

abc: 6.775 6.775 6.775
angles: 46.23 46.23 46.23
Fractional coordinates of all 10 atoms:
Ba (0.000, 0.000, 0.000)
Li (0.184, 0.184, 0.184)
Li (0.816, 0.816, 0.816)
I (0.500, 0.500, 0.500)
O (0.147, 0.440, 0.735)
O (0.265, 0.853, 0.560)
O (0.440, 0.735, 0.147)
O (0.560, 0.265, 0.853)
O (0.735, 0.147, 0.440)
O (0.853, 0.560, 0.265)

Computed properties:
Total moment ... 1.07 Bohr magnetons per cell
Raw formation energy ... -1.38 eV/atom

=====

[13]
DFT (PBE) results for a relaxed structure of BaLi2PI.

abc: 4.964 4.964 6.418
angles: 90.00 90.00 90.00
Fractional coordinates of all 5 atoms:
Ba (0.000, 0.000, 0.000)
Li (0.000, 0.500, 0.500)
Li (0.500, 0.000, 0.500)
P (0.000, 0.000, 0.500)
I (0.500, 0.500, 0.000)

Computed properties:
Total moment ... 0.00 Bohr magnetons per cell
Raw formation energy ... -0.96 eV/atom

=====

[14]
DFT (PBE) results for a relaxed structure of BaLi2PaI8.

abc: 11.737 11.737 11.737
angles: 35.80 35.80 35.80
Fractional coordinates of all 12 atoms:
Ba (0.000, 0.000, 0.000)
Li (0.250, 0.250, 0.250)
Li (0.750, 0.750, 0.750)
Pa (0.500, 0.500, 0.500)
I (0.138, 0.405, 0.777)
I (0.223, 0.595, 0.862)
I (0.330, 0.330, 0.330)
I (0.405, 0.777, 0.138)
I (0.595, 0.862, 0.223)
I (0.670, 0.670, 0.670)
I (0.777, 0.138, 0.405)
I (0.862, 0.223, 0.595)

Computed properties:
Total moment ... 1.00 Bohr magnetons per cell
Raw formation energy ... -1.08 eV/atom

=====

[15]
DFT (PBE) results for a relaxed structure of Ba2LiPdI.

abc: 6.256 6.256 4.861
angles: 90.00 90.00 90.00
Fractional coordinates of all 5 atoms:
Ba (0.000, 0.500, 0.000)
Ba (0.500, 0.000, 0.000)
Li (0.000, 0.000, 0.500)
Pd (0.000, 0.000, 0.000)
I (0.500, 0.500, 0.500)

Computed properties:
Total moment ... 0.00 Bohr magnetons per cell
Raw formation energy ... -0.64 eV/atom

=====

[16]
DFT (PBE) results for a relaxed structure of BaLi2PtI.

abc: 5.061 5.061 6.118
angles: 90.00 90.00 90.00
Fractional coordinates of all 5 atoms:
Ba (0.000, 0.000, 0.000)
Li (0.000, 0.500, 0.500)
Li (0.500, 0.000, 0.500)
Pt (0.000, 0.000, 0.500)
I (0.500, 0.500, 0.000)

Computed properties:
Total moment ... 0.00 Bohr magnetons per cell
Raw formation energy ... -0.65 eV/atom

=====

[17]
DFT (PBE) results for a relaxed structure of BaLi2PuI8.

abc: 7.468 7.468 10.162
angles: 90.00 90.00 120.00
Fractional coordinates of all 12 atoms:
Ba (0.000, 0.000, 0.000)
Li (0.333, 0.667, 0.737)
Li (0.667, 0.333, 0.263)
Pu (0.000, 0.000, 0.500)
I (0.028, 0.701, 0.313)
I (0.299, 0.327, 0.313)
I (0.327, 0.028, 0.687)
I (0.333, 0.667, 0.998)
I (0.667, 0.333, 0.002)
I (0.673, 0.972, 0.313)
I (0.701, 0.673, 0.687)
I (0.972, 0.299, 0.687)

Computed properties:
Total moment ... 3.95 Bohr magnetons per cell
Raw formation energy ... -1.10 eV/atom

=====

[18]
DFT (PBE) results for a relaxed structure of Rb2BaLiI6.

abc: 8.888 8.888 8.888
angles: 60.00 60.00 60.00
Fractional coordinates of all 10 atoms:
Rb (0.250, 0.250, 0.250)
Rb (0.750, 0.750, 0.750)
Ba (0.000, 0.000, 0.000)
Li (0.500, 0.500, 0.500)
I (0.268, 0.268, 0.732)
I (0.268, 0.732, 0.268)
I (0.268, 0.732, 0.732)
I (0.732, 0.268, 0.268)
I (0.732, 0.268, 0.732)
I (0.732, 0.732, 0.268)

Computed properties:
Total moment ... 0.00 Bohr magnetons per cell
Raw formation energy ... -1.23 eV/atom

=====

[19]
DFT (PBE) results for a relaxed structure of RbBaLiI4.

abc: 8.015 8.165 10.155
angles: 90.00 108.18 90.00
Fractional coordinates of all 14 atoms:
Rb (0.242, 0.250, 0.438)
Rb (0.758, 0.750, 0.562)
Ba (0.272, 0.250, 0.945)
Ba (0.728, 0.750, 0.055)
Li (0.272, 0.750, 0.188)
Li (0.728, 0.250, 0.812)
I (0.072, 0.750, 0.915)
I (0.074, 0.750, 0.363)
I (0.492, 0.504, 0.768)
I (0.492, 0.996, 0.768)
I (0.508, 0.004, 0.232)
I (0.508, 0.496, 0.232)
I (0.926, 0.250, 0.637)
I (0.928, 0.250, 0.085)

Computed properties:
Total moment ... 0.00 Bohr magnetons per cell
Raw formation energy ... -1.53 eV/atom

=====

[20]
DFT (PBE) results for a relaxed structure of RbBa2LiI6.

abc: 9.176 9.176 9.176
angles: 56.36 56.36 56.36
Fractional coordinates of all 10 atoms:
Rb (0.000, 0.000, 0.000)
Ba (0.290, 0.290, 0.290)
Ba (0.801, 0.801, 0.801)
Li (0.480, 0.480, 0.480)
I (0.115, 0.674, 0.413)
I (0.233, 0.582, 0.860)
I (0.413, 0.115, 0.674)
I (0.582, 0.860, 0.233)
I (0.674, 0.413, 0.115)
I (0.860, 0.233, 0.582)

Computed properties:
Total moment ... 0.00 Bohr magnetons per cell
Raw formation energy ... -1.56 eV/atom